Version P
Compound: Sb2TeAs
Source: Alexandria
Functional: GGA-PBE
Structure: relaxed

a = 3.2789 Å, b = 3.2789 Å, c = 10.3005 Å
α = 90.00°, β = 90.00°, γ = 111.50°
Fractional coordinates of all 4 atoms:
Sb 0.0000 0.0000 0.0000
Sb 0.5000 0.5000 0.2747
Te 0.5000 0.5000 0.7326
As 0.0000 0.0000 0.4864

Values from the calculation:
Density   7.19 g/cm3

Version Q
Compound: Sb2TeAs
Source: Alexandria
Functional: GGA-PBE
Structure: relaxed

a = 4.2998 Å, b = 4.2998 Å, c = 6.3979 Å
α = 90.00°, β = 90.00°, γ = 90.00°
Fractional coordinates of all 4 atoms:
Sb 0.0000 0.0000 0.0000
Sb 0.5000 0.5000 0.4479
Te 0.0000 0.0000 0.4967
As 0.5000 0.5000 0.0238

Values from the calculation:
Density   6.26 g/cm3

Version R
Compound: Sb2TeAs
Source: Alexandria
Functional: GGA-PBE
Structure: relaxed

a = 5.2710 Å, b = 5.2710 Å, c = 4.3258 Å
α = 90.00°, β = 90.00°, γ = 109.88°
Fractional coordinates of all 4 atoms:
Sb 0.2288 0.7712 0.0000
Sb 0.7712 0.2288 0.0000
Te 0.5000 0.5000 0.5000
As 0.0000 0.0000 0.5000

Values from the calculation:
Density   6.55 g/cm3

Most stable: version R. Least stable: version P.

Version P
Compound: Sb2TeAs
Source: Alexandria
Functional: GGA-PBE
Structure: relaxed

a = 5.3028 Å, b = 5.3028 Å, c = 3.6299 Å
α = 90.00°, β = 90.00°, γ = 90.00°
Fractional coordinates of all 4 atoms:
Sb 0.0000 0.5000 0.0000
Sb 0.5000 0.0000 0.0000
Te 0.0000 0.0000 0.5000
As 0.5000 0.5000 0.5000

Values from the calculation:
Density   7.26 g/cm3

Version Q
Compound: Sb2TeAs
Source: Alexandria
Functional: GGA-PBE
Structure: relaxed

a = 6.6245 Å, b = 6.6245 Å, c = 4.7595 Å
α = 108.19°, β = 108.19°, γ = 33.81°
Fractional coordinates of all 4 atoms:
Sb 0.1986 0.1986 0.2414
Sb 0.8014 0.8014 0.7586
Te 0.0000 0.0000 0.5000
As 0.5000 0.5000 0.0000

Values from the calculation:
Density   6.74 g/cm3

Most stable: version Q. Least stable: version P.

Version P
Compound: SbTeAs
Source: Alexandria
Functional: GGA-PBE
Structure: relaxed

a = 5.1350 Å, b = 5.1350 Å, c = 3.2944 Å
α = 90.00°, β = 90.00°, γ = 120.00°
Fractional coordinates of all 3 atoms:
Sb 0.0000 0.0000 0.0000
Te 0.3333 0.6667 0.5248
As 0.6667 0.3333 0.0849

Values from the calculation:
Density   7.16 g/cm3

Version Q
Compound: SbTeAs
Source: Alexandria
Functional: GGA-PBE
Structure: relaxed

a = 6.1068 Å, b = 6.1068 Å, c = 6.1068 Å
α = 144.49°, β = 144.49°, γ = 51.09°
Fractional coordinates of all 3 atoms:
Sb 0.0000 0.0000 0.0000
Te 0.3017 0.3017 0.0000
As 0.6185 0.6185 0.0000

Values from the calculation:
Density   7.05 g/cm3

Version R
Compound: SbTeAs
Source: Alexandria
Functional: GGA-PBE
Structure: relaxed

a = 4.9718 Å, b = 4.9718 Å, c = 4.9718 Å
α = 60.00°, β = 60.00°, γ = 60.00°
Fractional coordinates of all 3 atoms:
Sb 0.0000 0.0000 0.0000
Te 0.5000 0.5000 0.5000
As 0.2500 0.2500 0.2500

Values from the calculation:
Density   6.20 g/cm3

Version S
Compound: SbTeAs
Source: Alexandria
Functional: GGA-PBE
Structure: relaxed

a = 8.1869 Å, b = 7.9878 Å, c = 3.2654 Å
α = 81.80°, β = 74.95°, γ = 23.25°
Fractional coordinates of all 3 atoms:
Sb 0.0000 0.0000 0.0000
Te 0.3056 0.3056 0.6944
As 0.6298 0.6298 0.3702

Values from the calculation:
Density   6.83 g/cm3

Most stable: version Q. Least stable: version R.

Version P
Compound: SbTeAs
Source: Alexandria
Functional: GGA-PBE
Structure: relaxed

a = 4.2443 Å, b = 4.2443 Å, c = 5.2917 Å
α = 90.00°, β = 90.00°, γ = 120.00°
Fractional coordinates of all 3 atoms:
Sb 0.0000 0.0000 0.0000
Te 0.6667 0.3333 0.3715
As 0.3333 0.6667 0.7107

Values from the calculation:
Density   6.52 g/cm3

Version Q
Compound: SbTeAs
Source: Alexandria
Functional: GGA-PBE
Structure: relaxed

a = 8.3863 Å, b = 8.3863 Å, c = 8.3863 Å
α = 159.06°, β = 122.51°, γ = 61.87°
Fractional coordinates of all 6 atoms:
Sb 0.2302 0.0000 0.2302
Sb 0.7698 0.0000 0.7698
Te 0.1915 0.6915 0.5000
Te 0.8085 0.3085 0.5000
As 0.3804 0.8804 0.5000
As 0.6196 0.1196 0.5000

Values from the calculation:
Density   6.09 g/cm3

Most stable: version P. Least stable: version Q.

Version P
Compound: Sb2TeAs2
Source: Alexandria
Functional: GGA-PBE
Structure: relaxed

a = 8.4521 Å, b = 8.4521 Å, c = 3.7348 Å
α = 90.00°, β = 90.00°, γ = 90.00°
Fractional coordinates of all 10 atoms:
Sb 0.1816 0.3184 0.0000
Sb 0.3184 0.8184 0.0000
Sb 0.6816 0.1816 0.0000
Sb 0.8184 0.6816 0.0000
Te 0.0000 0.0000 0.0000
Te 0.5000 0.5000 0.0000
As 0.1532 0.6532 0.5000
As 0.3468 0.1532 0.5000
As 0.6532 0.8468 0.5000
As 0.8468 0.3468 0.5000

Values from the calculation:
Density   6.48 g/cm3

Version Q
Compound: Sb2TeAs2
Source: Alexandria
Functional: GGA-PBE
Structure: relaxed

a = 8.0684 Å, b = 8.0684 Å, c = 8.0684 Å
α = 149.81°, β = 149.81°, γ = 43.21°
Fractional coordinates of all 5 atoms:
Sb 0.1120 0.1120 0.0000
Sb 0.8880 0.8880 0.0000
Te 0.5000 0.5000 0.0000
As 0.2500 0.7500 0.5000
As 0.7500 0.2500 0.5000

Values from the calculation:
Density   6.53 g/cm3

Most stable: version Q. Least stable: version P.

Version P
Compound: Sb2TeAs2
Source: Alexandria
Functional: GGA-PBE
Structure: relaxed

a = 5.9542 Å, b = 5.9542 Å, c = 5.9542 Å
α = 126.00°, β = 126.00°, γ = 79.88°
Fractional coordinates of all 5 atoms:
Sb 0.2500 0.7500 0.5000
Sb 0.7500 0.2500 0.5000
Te 0.0000 0.0000 0.0000
As 0.3620 0.3620 0.0000
As 0.6380 0.6380 0.0000

Values from the calculation:
Density   6.48 g/cm3

Version Q
Compound: Sb2TeAs2
Source: Alexandria
Functional: GGA-PBE
Structure: relaxed

a = 8.2210 Å, b = 8.2210 Å, c = 3.8480 Å
α = 90.00°, β = 90.00°, γ = 90.00°
Fractional coordinates of all 10 atoms:
Sb 0.1594 0.3406 0.0000
Sb 0.3406 0.8406 0.0000
Sb 0.6594 0.1594 0.0000
Sb 0.8406 0.6594 0.0000
Te 0.0000 0.0000 0.5000
Te 0.5000 0.5000 0.5000
As 0.1722 0.6722 0.5000
As 0.3278 0.1722 0.5000
As 0.6722 0.8278 0.5000
As 0.8278 0.3278 0.5000

Values from the calculation:
Density   6.65 g/cm3

Most stable: version P. Least stable: version Q.